Compound: Tm2ScRh
Source: Alexandria via LeMat-Bulk
Functional: PBE
Structure: optimized geometry

a b c (Å): 3.439 3.439 8.060
angles (deg): 90.00 90.00 90.00
Site moments in Bohr magnetons follow the coordinates.
Positions (direct):
Rh 0.500 0.500 0.000  0.05
Sc 0.500 0.500 0.500  0.34
Tm 0.000 0.000 0.200  0.10
Tm 0.000 0.000 0.800  0.10

Values from the calculation:
DFT formation energy, eV per atom: -0.431



Compound: Tm2Sc3Rh2
Source: Alexandria via LeMat-Bulk
Functional: PBE
Structure: optimized geometry

a b c (Å): 3.442 9.365 6.216
angles (deg): 59.31 73.93 89.96
Positions (direct):
Sc 0.204 0.763 0.591
Tm 0.402 0.603 0.195
Sc 0.000 0.000 0.000
Tm 0.598 0.397 0.805
Sc 0.796 0.237 0.409
Rh 0.626 0.909 0.748
Rh 0.374 0.091 0.252

Values from the calculation:
DFT formation energy, eV per atom: -0.415



Compound: Tm4ScRh5
Source: Alexandria via LeMat-Bulk
Functional: PBE
Structure: optimized geometry

a b c (Å): 3.307 3.307 17.161
angles (deg): 90.00 90.00 90.00
Positions (direct):
Rh 0.500 0.500 0.093
Rh 0.500 0.500 0.500
Rh 0.500 0.500 0.907
Tm 0.000 0.000 0.602
Rh 0.500 0.500 0.297
Tm 0.000 0.000 0.195
Rh 0.500 0.500 0.703
Tm 0.000 0.000 0.805
Sc 0.000 0.000 0.000
Tm 0.000 0.000 0.398

Values from the calculation:
DFT formation energy, eV per atom: -0.969



Compound: Tm2Sc2Rh3
Source: Alexandria via LeMat-Bulk
Functional: PBE
Structure: optimized geometry

a b c (Å): 4.593 4.593 8.223
angles (deg): 90.00 106.22 120.00
Positions (direct):
Rh 0.000 0.000 0.000
Sc 0.748 0.374 0.121
Sc 0.252 0.626 0.879
Rh 0.491 0.746 0.237
Rh 0.509 0.254 0.763
Tm 0.753 0.876 0.630
Tm 0.247 0.124 0.370

Values from the calculation:
DFT formation energy, eV per atom: -0.863



Compound: TmScRh4
Source: Alexandria via LeMat-Bulk
Functional: PBE
Structure: optimized geometry

a b c (Å): 5.254 5.254 5.254
angles (deg): 60.00 60.00 60.00
Positions (direct):
Sc 0.000 0.000 0.000
Tm 0.250 0.250 0.250
Rh 0.625 0.625 0.625
Rh 0.625 0.625 0.124
Rh 0.124 0.625 0.625
Rh 0.625 0.124 0.625

Values from the calculation:
DFT formation energy, eV per atom: -0.726



Compound: Tm3ScRh
Source: Alexandria via LeMat-Bulk
Functional: PBE
Structure: optimized geometry

a b c (Å): 7.069 7.069 7.052
angles (deg): 108.71 113.43 106.45
Site moments in Bohr magnetons follow the coordinates.
Positions (direct):
Tm 0.840 0.041 0.274  0.08
Tm 0.284 0.553 0.837  0.09
Tm 0.767 0.566 0.726  0.08
Sc 0.299 0.946 0.245  0.07
Rh 0.623 0.755 0.379  0.01
Rh 0.377 0.245 0.621  0.01
Sc 0.701 0.054 0.755  0.07
Tm 0.716 0.447 0.163  0.09
Tm 0.233 0.434 0.274  0.08
Tm 0.160 0.959 0.726  0.08

Values from the calculation:
DFT formation energy, eV per atom: -0.359



Compound: Tm2ScRh
Source: Alexandria via LeMat-Bulk
Functional: PBE
Structure: optimized geometry

a b c (Å): 3.690 6.108 8.949
angles (deg): 90.00 90.00 107.58
Positions (direct):
Tm 0.637 0.273 0.435
Tm 0.363 0.727 0.565
Rh 0.259 0.519 0.250
Sc 0.072 0.143 0.750
Tm 0.637 0.273 0.065
Tm 0.363 0.727 0.935
Sc 0.928 0.857 0.250
Rh 0.741 0.481 0.750

Values from the calculation:
DFT formation energy, eV per atom: -0.523



Compound: YTmScRh
Source: Alexandria via LeMat-Bulk
Functional: PBE
Structure: optimized geometry

a b c (Å): 5.054 5.054 5.054
angles (deg): 60.00 60.00 60.00
Positions (direct):
Tm 0.500 0.500 0.500
Rh 0.750 0.750 0.750
Sc 0.250 0.250 0.250
Y 0.000 0.000 0.000

Values from the calculation:
DFT formation energy, eV per atom: -0.217



Compound: Tm2ScZn2Rh5
Source: Alexandria via LeMat-Bulk
Functional: PBE
Structure: optimized geometry

a b c (Å): 3.611 9.707 9.707
angles (deg): 90.00 90.00 90.00
Positions (direct):
Rh 0.500 0.928 0.203
Sc 0.000 0.500 0.500
Rh 0.500 0.703 0.428
Tm 0.000 0.828 0.672
Tm 0.000 0.672 0.172
Tm 0.000 0.328 0.828
Zn 0.000 0.875 0.375
Zn 0.000 0.375 0.125
Rh 0.500 0.500 0.000
Tm 0.000 0.172 0.328
Rh 0.500 0.428 0.297
Rh 0.500 0.297 0.572
Rh 0.500 0.000 0.500
Zn 0.000 0.125 0.625
Rh 0.500 0.072 0.797
Rh 0.500 0.203 0.072
Sc 0.000 0.000 0.000
Zn 0.000 0.625 0.875
Rh 0.500 0.797 0.928
Rh 0.500 0.572 0.703

Values from the calculation:
DFT formation energy, eV per atom: -0.712



Compound: TmSc2ZnRh4
Source: Alexandria via LeMat-Bulk
Functional: PBE
Structure: optimized geometry

a b c (Å): 4.537 4.537 7.898
angles (deg): 73.31 73.31 60.00
Positions (direct):
Rh 0.378 0.378 0.865
Sc 0.243 0.243 0.272
Sc 0.757 0.757 0.728
Rh 0.874 0.874 0.377
Rh 0.126 0.126 0.623
Rh 0.622 0.622 0.135
Zn 0.500 0.500 0.500
Tm 0.000 0.000 0.000

Values from the calculation:
DFT formation energy, eV per atom: -0.885



Compound: ScURh4
Source: Alexandria via LeMat-Bulk
Functional: PBE
Structure: optimized geometry

a b c (Å): 5.257 5.257 5.257
angles (deg): 60.00 60.00 60.00
Site moments in Bohr magnetons follow the coordinates.
Positions (direct):
Sc 0.000 0.000 0.000  0.16
Rh 0.625 0.124 0.625  -0.10
Rh 0.625 0.625 0.124  -0.10
U 0.250 0.250 0.250  1.95
Rh 0.625 0.625 0.625  -0.10
Rh 0.124 0.625 0.625  -0.10

Values from the calculation:
DFT formation energy, eV per atom: -0.538



Compound: ScURh
Source: Alexandria via LeMat-Bulk
Functional: PBE
Structure: optimized geometry

a b c (Å): 3.156 4.767 7.764
angles (deg): 90.00 101.73 90.00
Site moments in Bohr magnetons follow the coordinates.
Positions (direct):
Sc 0.072 0.250 0.144  0.01
Rh 0.578 0.750 0.156  0.00
U 0.237 0.750 0.473  1.42
Sc 0.928 0.750 0.856  0.01
Rh 0.422 0.250 0.844  0.00
U 0.763 0.250 0.527  1.42

Values from the calculation:
DFT formation energy, eV per atom: -0.470



Compound: ScURh6
Source: Alexandria via LeMat-Bulk
Functional: PBE
Structure: optimized geometry

a b c (Å): 3.977 5.619 5.619
angles (deg): 90.00 90.00 90.00
Positions (direct):
Rh 0.500 0.000 0.500
Rh 0.500 0.500 0.000
Rh 0.000 0.753 0.247
Sc 0.500 0.500 0.500
U 0.500 0.000 0.000
Rh 0.000 0.753 0.753
Rh 0.000 0.247 0.753
Rh 0.000 0.247 0.247

Values from the calculation:
DFT formation energy, eV per atom: -0.689



Compound: ScURh2
Source: Alexandria via LeMat-Bulk
Functional: PBE
Structure: optimized geometry

a b c (Å): 3.274 3.274 6.834
angles (deg): 90.00 90.00 90.00
Site moments in Bohr magnetons follow the coordinates.
Positions (direct):
U 0.500 0.500 0.500  1.97
Rh 0.000 0.000 0.238  -0.18
Sc 0.500 0.500 0.000  0.08
Rh 0.000 0.000 0.762  -0.18

Values from the calculation:
DFT formation energy, eV per atom: -0.653



Compound: ScURh4
Source: Alexandria via LeMat-Bulk
Functional: PBE
Structure: optimized geometry

a b c (Å): 4.207 7.636 12.431
angles (deg): 90.00 90.00 90.00
Positions (direct):
Sc 0.250 0.750 0.554
Rh 0.750 0.520 0.594
Sc 0.750 0.750 0.054
Rh 0.750 0.000 0.250
Sc 0.250 0.250 0.946
Rh 0.250 0.750 0.911
Rh 0.250 0.020 0.406
Rh 0.250 0.480 0.406
Rh 0.750 0.500 0.250
U 0.250 0.750 0.265
Rh 0.250 0.000 0.750
Rh 0.750 0.020 0.906
Rh 0.750 0.750 0.411
Rh 0.250 0.980 0.094
U 0.750 0.250 0.735
Rh 0.250 0.520 0.094
Rh 0.750 0.980 0.594
Rh 0.250 0.250 0.589
Rh 0.750 0.250 0.089
U 0.250 0.250 0.235
Sc 0.750 0.250 0.446
Rh 0.250 0.500 0.750
Rh 0.750 0.480 0.906
U 0.750 0.750 0.765

Values from the calculation:
DFT formation energy, eV per atom: -0.710



Compound: ScV2Rh2
Source: Alexandria via LeMat-Bulk
Functional: PBE
Structure: optimized geometry

a b c (Å): 4.151 4.151 5.793
angles (deg): 69.01 69.01 90.00
Positions (direct):
Sc 0.000 0.000 0.000
V 0.250 0.750 0.500
Rh 0.627 0.627 0.746
Rh 0.373 0.373 0.254
V 0.750 0.250 0.500

Values from the calculation:
DFT formation energy, eV per atom: -0.300



Compound: ScVRh3
Source: Alexandria via LeMat-Bulk
Functional: PBE
Structure: optimized geometry

a b c (Å): 4.492 4.492 4.492
angles (deg): 90.00 90.00 90.00
Positions (direct):
Rh 0.500 0.000 0.000
Rh 0.000 0.500 0.000
Rh 0.000 0.000 0.500
Sc 0.500 0.500 0.500
V 0.000 0.000 0.000

Values from the calculation:
DFT formation energy, eV per atom: 0.068



Compound: Sc2VRh
Source: Alexandria via LeMat-Bulk
Functional: PBE
Structure: optimized geometry

a b c (Å): 4.656 4.656 4.656
angles (deg): 60.00 60.00 60.00
Site moments in Bohr magnetons follow the coordinates.
Positions (direct):
Rh 0.500 0.500 0.500  0.02
Sc 0.250 0.250 0.250  0.22
V 0.000 0.000 0.000  2.45
Sc 0.750 0.750 0.750  0.22

Values from the calculation:
DFT formation energy, eV per atom: -0.349



Compound: ScV2Rh2
Source: Alexandria via LeMat-Bulk
Functional: PBE
Structure: optimized geometry

a b c (Å): 7.481 7.481 2.755
angles (deg): 90.00 90.00 90.00
Site moments in Bohr magnetons follow the coordinates.
Positions (direct):
Rh 0.845 0.345 0.500  -0.01
V 0.140 0.360 0.000  0.06
Sc 0.000 0.000 0.000  0.26
Sc 0.500 0.500 0.000  0.26
V 0.860 0.640 0.000  0.06
Rh 0.345 0.155 0.500  -0.01
V 0.360 0.860 0.000  0.06
Rh 0.155 0.655 0.500  -0.01
V 0.640 0.140 0.000  0.06
Rh 0.655 0.845 0.500  -0.01

Values from the calculation:
DFT formation energy, eV per atom: -0.303



Compound: Sc3VRh
Source: Alexandria via LeMat-Bulk
Functional: PBE
Structure: optimized geometry

a b c (Å): 4.693 4.693 4.693
angles (deg): 90.00 90.00 90.00
Positions (direct):
Sc 0.500 0.000 0.000
Sc 0.000 0.500 0.000
Sc 0.000 0.000 0.500
V 0.000 0.000 0.000
Rh 0.500 0.500 0.500

Values from the calculation:
DFT formation energy, eV per atom: 0.567